Record 1
# CaAcBe2H8 (GGA-PBE, optimized geometry)
data_CaAcBe2H8
_chemical_formula_sum 'Ca3 Ac3 Be6 H24'
_cell_length_a 4.5008
_cell_length_b 4.5008
_cell_length_c 20.6820
_cell_angle_alpha 90.00
_cell_angle_beta 90.00
_cell_angle_gamma 120.00
_symmetry_space_group_name_H-M 'R -3'
_symmetry_Int_Tables_number 148
_symmetry_space_group_name_Hall '-R 3'
loop_
_atom_site_label
_atom_site_type_symbol
_atom_site_fract_x
_atom_site_fract_y
_atom_site_fract_z
Ca1 Ca 0.0000 0.0000 0.0000
Ac1 Ac 0.0000 0.0000 0.5000
Be1 Be 0.0000 0.0000 0.2536
H1 H 0.0000 0.0000 0.1820
H2 H 0.0081 0.5434 0.0587
# electronic total energy = -3.75 eV per atom

---

Record 2
# Cs2HIBr6 (GGA-PBE, optimized geometry)
data_Cs2HIBr6
_chemical_formula_sum 'Cs4 H2 I2 Br12'
_cell_length_a 7.644
_cell_length_b 7.644
_cell_length_c 11.773
_cell_angle_alpha 90.00
_cell_angle_beta 90.00
_cell_angle_gamma 90.00
_symmetry_space_group_name_H-M 'I 4/m m m'
_symmetry_Int_Tables_number 139
_symmetry_space_group_name_Hall '-I 4 2'
loop_
_atom_site_label
_atom_site_type_symbol
_atom_site_fract_x
_atom_site_fract_y
_atom_site_fract_z
Cs1 Cs 0.000 0.500 0.250
H1 H 0.000 0.000 0.000
I1 I 0.000 0.000 0.500
Br1 Br 0.000 0.000 0.271
Br2 Br 0.218 0.218 0.000
# electronic total energy = -2.23 eV per atom